{
  "formula": "DyAl4Ag2",
  "functional": "PBE-GGA",
  "state": "optimized geometry",
  "cell": [[4.678, -3.290, 0.000], [4.678, 3.290, 0.000], [-2.721, 0.000, 4.360]],
  "species": ["Dy", "Al", "Al", "Al", "Al", "Ag", "Ag"],
  "frac_coords": [[0.000, 0.000, 0.000], [0.016, 0.609, 0.294], [0.391, 0.984, 0.706], [0.609, 0.016, 0.294], [0.984, 0.391, 0.706], [0.441, 0.441, 0.697], [0.559, 0.559, 0.303]],
  "dft_energy_ev_per_cell": -26.545
}

{
  "formula": "Dy6AlAg2",
  "functional": "PBE-GGA",
  "state": "optimized geometry",
  "cell": [[-4.878, 5.003, 5.010], [4.878, -5.003, 5.010], [4.878, 5.003, -5.010]],
  "species": ["Dy", "Dy", "Dy", "Dy", "Dy", "Dy", "Dy", "Dy", "Dy", "Dy", "Dy", "Dy", "Al", "Al", "Ag", "Ag", "Ag", "Ag"],
  "frac_coords": [[0.053, 0.826, 0.226], [0.247, 0.548, 0.301], [0.247, 0.946, 0.699], [0.266, 0.321, 0.588], [0.266, 0.679, 0.945], [0.400, 0.174, 0.226], [0.600, 0.826, 0.774], [0.734, 0.321, 0.055], [0.734, 0.679, 0.412], [0.753, 0.054, 0.301], [0.753, 0.452, 0.699], [0.947, 0.174, 0.774], [0.000, 0.500, 0.500], [0.500, 0.000, 0.500], [0.000, 0.146, 0.146], [0.000, 0.854, 0.854], [0.364, 0.364, 0.000], [0.636, 0.636, 0.000]],
  "dft_energy_ev_per_cell": -77.602
}

{
  "formula": "Dy2AlAg2",
  "functional": "PBE-GGA",
  "state": "optimized geometry",
  "cell": [[5.406, -2.219, 0.000], [5.406, 2.219, 0.000], [-4.925, 0.000, 9.724]],
  "species": ["Dy", "Dy", "Dy", "Dy", "Al", "Al", "Ag", "Ag", "Ag", "Ag"],
  "frac_coords": [[0.008, 0.008, 0.337], [0.192, 0.192, 0.110], [0.808, 0.808, 0.890], [0.992, 0.992, 0.663], [0.279, 0.279, 0.654], [0.721, 0.721, 0.346], [0.353, 0.353, 0.436], [0.478, 0.478, 0.118], [0.522, 0.522, 0.882], [0.647, 0.647, 0.564]],
  "e_above_lowest_polymorph_mev_per_atom": 0
}